[1]
A geometry-optimized VH10S2N2O8 structure, computed with PBE with a Hubbard U.

Output
calculated total energy: -5.58 eV/atom
SG: P2_1/c, No. 14
E above lowest polymorph: 0.000 eV per atom
Fermi-level density of states: 0.000 states/eV per atom

abc: 13.279 5.188 7.716
angles: 58.00 90.00 90.00
Site moments in Bohr magnetons follow the coordinates.
Positions (direct):
V 0.000 0.000 0.500  1.05
V 0.500 0.000 0.000  1.05
H 0.811 0.165 0.847  0.00
H 0.593 0.771 0.346  0.00
H 0.180 0.685 0.406  0.00
H 0.189 0.835 0.153  0.00
H 0.710 0.139 0.728  0.00
H 0.258 0.517 0.320  0.00
H 0.210 0.861 0.772  0.00
H 0.758 0.483 0.180  0.00
H 0.689 0.165 0.347  0.00
H 0.320 0.685 0.906  0.00
H 0.907 0.771 0.846  0.00
H 0.311 0.835 0.653  0.00
H 0.093 0.229 0.154  0.00
H 0.680 0.315 0.094  0.00
H 0.242 0.517 0.820  0.00
H 0.790 0.139 0.228  0.00
H 0.742 0.483 0.680  0.00
H 0.290 0.861 0.272  0.00
H 0.407 0.229 0.654  0.00
H 0.820 0.315 0.594  0.00
S 0.943 0.715 0.231  0.00
S 0.557 0.715 0.731  0.00
S 0.443 0.285 0.269  0.00
S 0.057 0.285 0.769  0.00
N 0.229 0.723 0.288  0.00
N 0.271 0.723 0.788  0.00
N 0.729 0.277 0.212  0.00
N 0.771 0.277 0.712  0.00
O 0.411 0.215 0.787  -0.05
O 0.862 0.791 0.071  -0.01
O 0.915 0.383 0.411  0.00
O 0.090 0.088 0.677  -0.01
O 0.590 0.912 0.823  -0.01
O 0.415 0.617 0.089  0.00
O 0.362 0.209 0.429  -0.01
O 0.911 0.785 0.713  -0.05
O 0.089 0.215 0.287  -0.05
O 0.638 0.791 0.571  -0.01
O 0.585 0.383 0.911  0.00
O 0.410 0.088 0.177  -0.01
O 0.910 0.912 0.323  -0.01
O 0.085 0.617 0.589  0.00
O 0.138 0.209 0.929  -0.01
O 0.589 0.785 0.213  -0.05

---

[2]
A geometry-optimized VH10S2N2O8 structure, computed with PBE with a Hubbard U.

Output
calculated total energy: -5.41 eV/atom
SG: P2_1/c, No. 14
E above lowest polymorph: 0.176 eV per atom

abc: 7.067 6.684 10.435
angles: 60.06 90.00 90.00
Site moments in Bohr magnetons follow the coordinates.
Positions (direct):
V 0.000 0.000 0.500  1.28
V 0.500 0.000 0.000  1.28
H 0.060 0.595 0.208  0.00
H 0.160 0.386 0.140  0.00
H 0.646 0.655 0.000  0.00
H 0.940 0.405 0.792  0.00
H 0.730 0.677 0.614  0.00
H 0.615 0.257 0.463  0.00
H 0.230 0.323 0.886  0.00
H 0.115 0.743 0.037  0.00
H 0.440 0.595 0.708  0.00
H 0.854 0.655 0.500  0.00
H 0.340 0.386 0.640  0.00
H 0.560 0.405 0.292  0.00
H 0.660 0.614 0.360  0.00
H 0.146 0.345 0.500  0.00
H 0.885 0.257 0.963  0.00
H 0.770 0.677 0.114  0.00
H 0.385 0.743 0.537  0.00
H 0.270 0.323 0.386  0.00
H 0.840 0.614 0.860  0.00
H 0.354 0.345 0.000  0.00
S 0.183 0.997 0.239  -0.01
S 0.317 0.997 0.739  -0.01
S 0.683 0.003 0.261  -0.01
S 0.817 0.003 0.761  -0.01
N 0.692 0.095 0.092  -0.09
N 0.808 0.095 0.592  -0.09
N 0.192 0.905 0.408  -0.09
N 0.308 0.905 0.908  -0.09
O 0.843 0.111 0.310  -0.02
O 0.526 0.378 0.391  0.00
O 0.729 0.723 0.839  -0.02
O 0.367 0.328 0.909  0.00
O 0.867 0.672 0.591  0.00
O 0.229 0.277 0.661  -0.02
O 0.026 0.622 0.109  0.00
O 0.343 0.889 0.190  -0.02
O 0.657 0.111 0.810  -0.02
O 0.974 0.378 0.891  0.00
O 0.771 0.723 0.339  -0.02
O 0.133 0.328 0.409  0.00
O 0.633 0.672 0.091  0.00
O 0.271 0.277 0.161  -0.02
O 0.474 0.622 0.609  0.00
O 0.157 0.889 0.690  -0.02

---

[3]
A geometry-optimized VH20S2N2O14 structure, computed with PBE with a Hubbard U.

Output
calculated total energy: -5.41 eV/atom
SG: P2_1/c, No. 14
Fermi-level density of states: 0.000 states/eV per atom

abc: 6.389 9.294 12.579
angles: 90.00 90.00 106.72
Site moments in Bohr magnetons follow the coordinates.
Positions (direct):
V 0.000 0.500 0.500  2.75
V 0.000 0.000 0.000  2.75
H 0.671 0.483 0.649  0.00
H 0.329 0.017 0.149  0.00
H 0.329 0.517 0.351  0.00
H 0.671 0.983 0.851  0.00
H 0.660 0.606 0.564  0.00
H 0.340 0.894 0.064  0.00
H 0.340 0.394 0.436  0.00
H 0.660 0.106 0.936  0.00
H 0.014 0.644 0.306  0.00
H 0.986 0.856 0.806  0.00
H 0.986 0.356 0.694  0.00
H 0.014 0.144 0.194  0.00
H 0.066 0.770 0.396  0.00
H 0.934 0.730 0.896  0.00
H 0.934 0.230 0.604  0.00
H 0.066 0.270 0.104  0.00
H 0.901 0.240 0.381  0.00
H 0.099 0.260 0.881  0.00
H 0.099 0.760 0.619  0.00
H 0.901 0.740 0.119  0.00
H 0.674 0.269 0.414  0.00
H 0.326 0.231 0.914  0.00
H 0.326 0.731 0.586  0.00
H 0.674 0.769 0.086  0.00
H 0.629 0.337 0.079  0.00
H 0.371 0.163 0.579  0.00
H 0.371 0.663 0.921  0.00
H 0.629 0.837 0.421  0.00
H 0.550 0.435 0.179  0.00
H 0.450 0.065 0.679  0.00
H 0.450 0.565 0.821  0.00
H 0.550 0.935 0.321  0.00
H 0.613 0.274 0.207  0.00
H 0.387 0.226 0.707  0.00
H 0.387 0.726 0.793  0.00
H 0.613 0.774 0.293  0.00
H 0.811 0.433 0.170  0.00
H 0.189 0.067 0.670  0.00
H 0.811 0.933 0.330  0.00
H 0.189 0.567 0.830  0.00
S 0.266 0.085 0.369  0.00
S 0.734 0.415 0.869  0.00
S 0.734 0.915 0.631  0.00
S 0.266 0.585 0.131  0.00
N 0.650 0.368 0.159  0.00
N 0.350 0.132 0.659  0.00
N 0.350 0.632 0.841  0.00
N 0.650 0.868 0.341  0.00
O 0.700 0.512 0.573  0.00
O 0.300 0.988 0.073  0.00
O 0.300 0.488 0.427  0.00
O 0.700 0.012 0.927  0.00
O 0.976 0.665 0.380  -0.01
O 0.024 0.835 0.880  -0.01
O 0.024 0.335 0.620  -0.01
O 0.976 0.165 0.120  -0.01
O 0.828 0.318 0.394  -0.01
O 0.172 0.182 0.894  -0.01
O 0.172 0.682 0.606  -0.01
O 0.828 0.818 0.106  -0.01
O 0.060 0.111 0.327  0.00
O 0.940 0.389 0.827  0.00
O 0.940 0.889 0.673  0.00
O 0.060 0.611 0.173  0.00
O 0.384 0.214 0.439  0.00
O 0.616 0.286 0.939  0.00
O 0.616 0.786 0.561  0.00
O 0.384 0.714 0.061  0.00
O 0.217 0.944 0.430  0.00
O 0.783 0.556 0.930  0.00
O 0.783 0.056 0.570  0.00
O 0.217 0.444 0.070  0.00
O 0.414 0.078 0.277  0.00
O 0.586 0.422 0.777  0.00
O 0.586 0.922 0.723  0.00
O 0.414 0.578 0.223  0.00